## KLiMn4 (PBE)

Data for an optimized crystal structure of KLiMn4.

Unit cell a=7.9151 b=7.9151 c=7.9151 alpha=90.00 beta=90.00 gamma=90.00
Space group F-43m (No. 216)
Inequivalent atoms, fractional coordinates:
K  0.0000  0.0000  0.0000 (multiplicity 4)
Li  0.2500  0.2500  0.7500 (multiplicity 4)
Mn  0.1216  0.1216  0.3784 (multiplicity 16)

Results
Total magnetic moment   62.43 μB per cell
E_tot   -5.75 eV/atom
Energy of formation from the pure elements   0.8633 eV per atom
Calculated volume   20.66 Å³/atom


## MgTi3Cd (PBE)

Data for an optimized crystal structure of MgTi3Cd.

Unit cell a=5.0060 b=5.0060 c=5.0060 alpha=90.00 beta=90.00 gamma=90.00
Space group Pm-3m (No. 221)
Inequivalent atoms, fractional coordinates:
Mg  0.0000  0.0000  0.0000 (multiplicity 1)
Ti  0.0000  0.5000  0.5000 (multiplicity 3)
Cd  0.5000  0.5000  0.5000 (multiplicity 1)

Results
Total magnetic moment   0.00 μB per cell
E_tot   -4.08 eV/atom
Excess energy over the best structure of this formula in the dataset   0 meV/atom
Energy of formation from the pure elements   1.1608 eV per atom
Calculated volume   25.09 Å³/atom


## InSbPbBr (PBE)

Data for an optimized crystal structure of InSbPbBr.

Unit cell a=7.7588 b=7.7588 c=7.7588 alpha=90.00 beta=90.00 gamma=90.00
Space group F-43m (No. 216)
Inequivalent atoms, fractional coordinates:
In  0.0000  0.0000  0.0000 (multiplicity 4)
Sb  0.2500  0.2500  0.2500 (multiplicity 4)
Pb  0.0000  0.0000  0.5000 (multiplicity 4)
Br  0.2500  0.2500  0.7500 (multiplicity 4)

Results
Total magnetic moment   0.00 μB per cell
E_tot   -3.23 eV/atom
Uncorrected formation energy   -0.68 eV/f.u.
Calculated volume   29.19 Å³/atom


## Th2Be3ZnRh4 (PBE)

Data for an optimized crystal structure of Th2Be3ZnRh4.

Unit cell a=4.0845 b=4.0845 c=9.7642 alpha=90.00 beta=90.00 gamma=90.00
Space group P-4m2 (No. 115)
Inequivalent atoms, fractional coordinates:
Th  0.0000  0.5000  0.2355 (multiplicity 2)
Be  0.0000  0.5000  0.8911 (multiplicity 2)
Be  0.5000  0.5000  0.5000 (multiplicity 1)
Zn  0.0000  0.0000  0.5000 (multiplicity 1)
Rh  0.0000  0.0000  0.0000 (multiplicity 1)
Rh  0.0000  0.5000  0.6495 (multiplicity 2)
Rh  0.5000  0.5000  0.0000 (multiplicity 1)

Results
Total magnetic moment   0.00 μB per cell
E_tot   -6.32 eV/atom
Energy of formation from the pure elements   -0.6543 eV per atom
Calculated volume   16.29 Å³/atom


## GaReNF2 (PBE)

Data for an optimized crystal structure of GaReNF2.

Unit cell a=4.3005 b=4.3005 c=3.8234 alpha=90.00 beta=90.00 gamma=90.00
Space group P4/mmm (No. 123)
Inequivalent atoms, fractional coordinates:
Ga  0.0000  0.0000  0.0000 (multiplicity 1)
Re  0.5000  0.5000  0.5000 (multiplicity 1)
N  0.5000  0.5000  0.0000 (multiplicity 1)
F  0.0000  0.5000  0.5000 (multiplicity 2)

Results
Total magnetic moment   0.02 μB per cell
E_tot   -6.09 eV/atom
Excess energy over the best structure of this formula in the dataset   0 meV/atom
Uncorrected formation energy   -2.92 eV/f.u.
Calculated volume   14.14 Å³/atom


## Ga2GeBi2 (PBE)

Data for an optimized crystal structure of Ga2GeBi2.

Unit cell a=6.7391 b=6.7391 c=5.6228 alpha=90.00 beta=90.00 gamma=90.00
Space group P4/mbm (No. 127)
Inequivalent atoms, fractional coordinates:
Ga  0.1349  0.3651  0.0000 (multiplicity 4)
Ge  0.0000  0.0000  0.0000 (multiplicity 2)
Bi  0.2468  0.7468  0.5000 (multiplicity 4)

Results
Total magnetic moment   0.00 μB per cell
E_tot   -3.53 eV/atom
Excess energy over the best structure of this formula in the dataset   0 meV/atom
Energy of formation from the pure elements   0.1527 eV per atom
Calculated volume   25.54 Å³/atom


## Ba2TlAg16 (PBE)

Data for an optimized crystal structure of Ba2TlAg16.

Unit cell a=9.9887 b=9.9887 c=14.4010 alpha=90.00 beta=90.00 gamma=120.00
Space group R3m (No. 160, hexagonal axes)
Inequivalent atoms, fractional coordinates:
Ba  0.0000  0.0000  0.0000 (multiplicity 3)
Ba  0.0000  0.0000  0.3104 (multiplicity 3)
Tl  0.0000  0.0000  0.5607 (multiplicity 3)
Ag  0.0000  0.0000  0.7590 (multiplicity 3)
Ag  0.0000  0.2996  0.6594 (multiplicity 18)
Ag  0.0028  0.5014  0.8132 (multiplicity 9)
Ag  0.0036  0.5018  0.5036 (multiplicity 9)
Ag  0.1699  0.3399  0.4920 (multiplicity 9)

Results
Total magnetic moment   0.00 μB per cell
E_tot   -2.81 eV/atom
Energy of formation from the pure elements   -0.0829 eV per atom
Calculated volume   21.83 Å³/atom


## PrYSnPb (PBE)

Data for an optimized crystal structure of PrYSnPb.

Unit cell a=7.7779 b=7.7779 c=7.7779 alpha=90.00 beta=90.00 gamma=90.00
Space group F-43m (No. 216)
Inequivalent atoms, fractional coordinates:
Pr  0.0000  0.0000  0.0000 (multiplicity 4)
Y  0.0000  0.0000  0.5000 (multiplicity 4)
Sn  0.2500  0.2500  0.2500 (multiplicity 4)
Pb  0.2500  0.2500  0.7500 (multiplicity 4)

Results
Total magnetic moment   0.00 μB per cell
E_tot   -5.24 eV/atom
Energy of formation from the pure elements   -0.4976 eV per atom
Calculated volume   29.41 Å³/atom


## HoLuNp (PBE)

Data for an optimized crystal structure of HoLuNp.

Unit cell a=5.5149 b=5.5149 c=3.1589 alpha=90.00 beta=90.00 gamma=120.00
Space group P3m1 (No. 156)
Inequivalent atoms, fractional coordinates:
Ho  0.0000  0.0000  0.0000 (multiplicity 1)
Lu  0.6667  0.3333  0.4986 (multiplicity 1)
Np  0.3333  0.6667  0.9975 (multiplicity 1)

Results
Total magnetic moment   4.60 μB per cell
E_tot   -6.94 eV/atom
Energy of formation from the pure elements   0.4114 eV per atom
Calculated volume   27.73 Å³/atom


## MgCrPdPt (PBE)

Data for an optimized crystal structure of MgCrPdPt.

Unit cell a=6.2874 b=6.2874 c=6.2874 alpha=90.00 beta=90.00 gamma=90.00
Space group F-43m (No. 216)
Inequivalent atoms, fractional coordinates:
Mg  0.0000  0.0000  0.0000 (multiplicity 4)
Cr  0.0000  0.0000  0.5000 (multiplicity 4)
Pd  0.2500  0.2500  0.7500 (multiplicity 4)
Pt  0.2500  0.2500  0.2500 (multiplicity 4)

Results
Total magnetic moment   15.27 μB per cell
E_tot   -6.01 eV/atom
Energy of formation from the pure elements   -0.3921 eV per atom
Calculated volume   15.53 Å³/atom


## Sr2NiHg (PBE)

Data for an optimized crystal structure of Sr2NiHg.

Unit cell a=8.2862 b=8.2862 c=7.4598 alpha=90.00 beta=90.00 gamma=90.00
Space group I-42d (No. 122)
Inequivalent atoms, fractional coordinates:
Sr  0.2081  0.2500  0.1250 (multiplicity 8)
Ni  0.0000  0.0000  0.0000 (multiplicity 4)
Hg  0.0000  0.0000  0.5000 (multiplicity 4)

Results
Total magnetic moment   0.00 μB per cell
E_tot   -2.29 eV/atom
Energy of formation from the pure elements   0.0736 eV per atom
Calculated volume   32.01 Å³/atom


## LiPr2Pa (PBE)

Data for an optimized crystal structure of LiPr2Pa.

Unit cell a=5.7860 b=5.7860 c=3.4187 alpha=90.00 beta=90.00 gamma=90.00
Space group P4/mmm (No. 123)
Inequivalent atoms, fractional coordinates:
Li  0.0000  0.0000  0.0000 (multiplicity 1)
Pr  0.0000  0.5000  0.5000 (multiplicity 2)
Pa  0.5000  0.5000  0.0000 (multiplicity 1)

Results
Total magnetic moment   0.38 μB per cell
E_tot   -4.97 eV/atom
Excess energy over the best structure of this formula in the dataset   119 meV/atom
Energy of formation from the pure elements   0.2771 eV per atom
Calculated volume   28.61 Å³/atom